1.
The following is a DFT calculation (PBE-GGA) of a relaxed ZrFeRh crystal.

Summary:
calculated formation energy: -0.28 eV per atom

a b c (Å): 5.1306 5.1306 5.1306
angles (deg): 143.03 143.03 53.28
Last column: magnetic moment on the atom in μB.
Fractional positions:
Fe 0.9935 0.9935 0.0000  2.70
Zr 0.6670 0.6670 0.0000  -0.23
Rh 0.3396 0.3396 0.0000  0.41

2.
The following is a DFT calculation (PBE-GGA) of a relaxed PmPr4Cu4 crystal.

Summary:
calculated formation energy: 0.00 eV per atom

a b c (Å): 6.4667 8.6299 8.6299
angles (deg): 90.00 90.00 90.00
Fractional positions:
Cu 0.8486 0.7311 0.1250
Pr 0.0999 0.7952 0.4110
Pr 0.5999 0.0890 0.2952
Pr 0.9001 0.4110 0.2048
Pm 0.0000 0.0000 0.0000
Cu 0.1514 0.8750 0.7311
Pr 0.5999 0.9110 0.7048
Pr 0.9001 0.5890 0.7952
Pr 0.4001 0.7048 0.0890
Cu 0.1514 0.1250 0.2689
Pr 0.0999 0.2048 0.5890
Cu 0.3486 0.3750 0.2311
Cu 0.8486 0.2689 0.8750
Cu 0.6514 0.2311 0.6250
Pm 0.5000 0.5000 0.5000
Cu 0.3486 0.6250 0.7689
Cu 0.6514 0.7689 0.3750
Pr 0.4001 0.2952 0.9110

3.
The following is a DFT calculation (PBE-GGA) of a relaxed Sc2Te crystal.

Summary:
energy: -6.090 eV per atom

a b c (Å): 3.9335 10.7448 20.2497
angles (deg): 90.00 90.00 90.00
Fractional positions:
Sc 0.2500 0.0345 0.1633
Te 0.2500 0.4676 0.2355
Sc 0.7500 0.3935 0.9898
Te 0.2500 0.7229 0.6262
Sc 0.2500 0.1571 0.6066
Sc 0.7500 0.9655 0.8367
Te 0.2500 0.8538 0.9255
Te 0.7500 0.1462 0.0745
Te 0.2500 0.6462 0.4255
Sc 0.2500 0.7470 0.7723
Te 0.7500 0.3538 0.5745
Te 0.7500 0.9676 0.2645
Sc 0.7500 0.5697 0.1370
Te 0.7500 0.5324 0.7645
Te 0.2500 0.7771 0.1262
Sc 0.7500 0.9303 0.6370
Te 0.7500 0.2229 0.8738
Sc 0.2500 0.1193 0.9673
Sc 0.2500 0.0697 0.3630
Te 0.2500 0.0324 0.7355
Sc 0.7500 0.2470 0.7277
Sc 0.7500 0.8429 0.3934
Sc 0.7500 0.6193 0.5327
Sc 0.2500 0.4655 0.6633
Sc 0.2500 0.3807 0.4673
Sc 0.2500 0.4303 0.8630
Sc 0.7500 0.8807 0.0327
Sc 0.7500 0.1065 0.4898
Sc 0.7500 0.6571 0.8934
Sc 0.2500 0.6065 0.0102
Te 0.7500 0.2771 0.3738
Sc 0.2500 0.3429 0.1066
Sc 0.7500 0.2530 0.2277
Sc 0.2500 0.8935 0.5102
Sc 0.7500 0.5345 0.3367
Sc 0.2500 0.7530 0.2723

4.
The following is a DFT calculation (PBE-GGA) of a relaxed RbNaZn2Cu crystal.

Summary:
calculated formation energy: 0.14 eV per atom

a b c (Å): 4.9089 4.9089 5.5605
angles (deg): 90.00 90.00 90.00
Fractional positions:
Rb 0.5000 0.5000 0.5000
Cu 0.0000 0.0000 0.0000
Zn 0.0000 0.5000 0.0000
Na 0.0000 0.0000 0.5000
Zn 0.5000 0.0000 0.0000

5.
The following is a DFT calculation (PBE-GGA) of a relaxed NdU4S5 crystal.

Summary:
energy: -8.535 eV per atom

a b c (Å): 3.8890 5.5268 10.3634
angles (deg): 105.47 100.81 90.00
Last column: magnetic moment on the atom in μB.
Fractional positions:
S 0.3946 0.8946 0.7893  -0.05
S 0.0000 0.5000 0.0000  -0.06
S 0.8020 0.3020 0.6039  -0.07
U 0.6004 0.6004 0.2008  2.15
S 0.1980 0.6980 0.3961  -0.07
Nd 0.0000 0.0000 0.0000  0.02
U 0.2036 0.2036 0.4072  2.09
U 0.7964 0.7964 0.5928  2.09
S 0.6054 0.1054 0.2107  -0.05
U 0.3996 0.3996 0.7992  2.15

6.
The following is a DFT calculation (PBE-GGA) of a relaxed Dy2MnGa crystal.

Summary:
E above lowest polymorph: 0.0 meV per atom
calculated formation energy: -0.19 eV per atom

a b c (Å): 3.5421 3.5421 7.1761
angles (deg): 90.00 90.00 90.00
Last column: magnetic moment on the atom in μB.
Fractional positions:
Mn 0.5000 0.5000 0.5000  3.33
Ga 0.5000 0.5000 0.0000  -0.01
Dy 0.0000 0.0000 0.7439  -0.28
Dy 0.0000 0.0000 0.2561  -0.28

7.
The following is a DFT calculation (PBE-GGA) of a relaxed Li12Cd6Cu crystal.

Summary:
calculated formation energy: -0.16 eV per atom

a b c (Å): 7.1238 7.1238 7.1238
angles (deg): 90.40 90.40 90.40
Fractional positions:
Cd 0.8827 0.7276 0.2645
Li 0.1474 0.0385 0.3695
Li 0.6305 0.8526 0.9615
Cd 0.2724 0.7355 0.1173
Li 0.5267 0.8026 0.4363
Li 0.8526 0.9615 0.6305
Li 0.4363 0.5267 0.8026
Cd 0.7355 0.1173 0.2724
Cu 0.0000 0.0000 0.0000
Li 0.3695 0.1474 0.0385
Li 0.0385 0.3695 0.1474
Li 0.1974 0.5637 0.4733
Li 0.5637 0.4733 0.1974
Cd 0.1173 0.2724 0.7355
Li 0.8026 0.4363 0.5267
Cd 0.2645 0.8827 0.7276
Li 0.4733 0.1974 0.5637
Li 0.9615 0.6305 0.8526
Cd 0.7276 0.2645 0.8827

8.
The following is a DFT calculation (PBE-GGA) of a relaxed GaPbAu2Cl crystal.

Summary:
energy: -2.652 eV per atom

a b c (Å): 5.2899 5.9142 5.2899
angles (deg): 90.00 90.00 90.00
Fractional positions:
Ga 0.0000 0.5000 0.0000
Cl 0.5000 0.5000 0.5000
Au 0.0000 0.0000 0.5000
Pb 0.0000 0.0000 0.0000
Au 0.5000 0.0000 0.0000

9.
The following is a DFT calculation (PBE-GGA) of a relaxed Pr3Ni crystal.

Summary:
calculated formation energy: -0.16 eV per atom

a b c (Å): 6.5665 7.1287 10.1114
angles (deg): 90.00 90.00 90.00
Fractional positions:
Pr 0.8266 0.8242 0.9328
Ni 0.0695 0.8848 0.2500
Pr 0.3266 0.6758 0.4328
Pr 0.3532 0.9656 0.7500
Pr 0.1468 0.4656 0.7500
Pr 0.8266 0.8242 0.5672
Pr 0.6734 0.3242 0.9328
Pr 0.6734 0.3242 0.5672
Pr 0.1734 0.1758 0.4328
Ni 0.5695 0.6152 0.7500
Pr 0.8532 0.5344 0.2500
Ni 0.9305 0.1152 0.7500
Pr 0.1734 0.1758 0.0672
Pr 0.3266 0.6758 0.0672
Ni 0.4305 0.3848 0.2500
Pr 0.6468 0.0344 0.2500

10.
The following is a DFT calculation (PBE-GGA) of a relaxed LiCeCd crystal.

Summary:
E above lowest polymorph: 0.0 meV per atom
calculated formation energy: -0.13 eV per atom

a b c (Å): 3.1632 3.1638 13.3424
angles (deg): 76.23 90.00 90.00
Last column: magnetic moment on the atom in μB.
Fractional positions:
Ce 0.2500 0.3509 0.8987  0.12
Cd 0.2500 0.9523 0.2981  0.00
Li 0.2500 0.6820 0.5681  0.00
Ce 0.7500 0.6491 0.1013  0.12
Cd 0.7500 0.0477 0.7019  0.00
Li 0.7500 0.3180 0.4319  0.00

11.
The following is a DFT calculation (PBE-GGA) of a relaxed TlAg2SeF crystal.

Summary:
energy: -3.317 eV per atom

a b c (Å): 4.6862 6.4160 8.7196
angles (deg): 102.50 90.00 90.00
Fractional positions:
Se 0.2500 0.1921 0.7662
Ag 0.2500 0.6882 0.3000
Tl 0.2500 0.7399 0.8854
F 0.2500 0.2968 0.2647
Tl 0.7500 0.2601 0.1146
F 0.7500 0.7032 0.7353
Ag 0.2500 0.1278 0.4683
Ag 0.7500 0.3118 0.7000
Ag 0.7500 0.8722 0.5317
Se 0.7500 0.8079 0.2338

12.
The following is a DFT calculation (PBE-GGA) of a relaxed TlHg2Ir crystal.

Summary:
E above lowest polymorph: 136.1 meV per atom
calculated formation energy: 0.41 eV per atom

a b c (Å): 3.1596 3.1596 8.9277
angles (deg): 90.00 90.00 90.00
Fractional positions:
Hg 0.0000 0.0000 0.0118
Ir 0.0000 0.0000 0.4930
Hg 0.5000 0.5000 0.2922
Tl 0.5000 0.5000 0.7030

13.
The following is a DFT calculation (PBE-GGA) of a relaxed Pm2CuPt crystal.

Summary:
E above lowest polymorph: 70.9 meV per atom
calculated formation energy: -0.65 eV per atom

a b c (Å): 5.0602 5.0602 5.0602
angles (deg): 60.00 60.00 60.00
Fractional positions:
Pm 0.2500 0.2500 0.2500
Pt 0.0000 0.0000 0.0000
Pm 0.7500 0.7500 0.7500
Cu 0.5000 0.5000 0.5000

14.
The following is a DFT calculation (PBE-GGA) of a relaxed Li2NdZn6 crystal.

Summary:
E above lowest polymorph: 16.0 meV per atom
calculated formation energy: -0.14 eV per atom

a b c (Å): 3.1444 7.8649 7.8649
angles (deg): 120.00 90.00 90.00
Fractional positions:
Zn 0.5000 0.0000 0.3436
Zn 0.5000 0.3436 0.3436
Zn 0.5000 0.6564 0.6564
Nd 0.0000 0.0000 0.0000
Zn 0.5000 0.6564 0.0000
Li 0.0000 0.6667 0.3333
Zn 0.5000 0.3436 0.0000
Li 0.0000 0.3333 0.6667
Zn 0.5000 0.0000 0.6564

15.
The following is a DFT calculation (PBE-GGA) of a relaxed Hf4ZnAg crystal.

Summary:
calculated formation energy: -0.15 eV per atom

a b c (Å): 3.2298 3.2298 11.6525
angles (deg): 90.00 90.00 90.00
Fractional positions:
Ag 0.0000 0.0000 0.0000
Hf 0.5000 0.5000 0.8292
Hf 0.0000 0.0000 0.6538
Hf 0.0000 0.0000 0.3462
Hf 0.5000 0.5000 0.1708
Zn 0.5000 0.5000 0.5000

16.
The following is a DFT calculation (PBE-GGA) of a relaxed Hf2AgB crystal.

Summary:
E above lowest polymorph: 61.4 meV per atom
calculated formation energy: 0.27 eV per atom

a b c (Å): 4.5594 4.5594 4.5594
angles (deg): 60.00 60.00 60.00
Fractional positions:
B 0.0000 0.0000 0.0000
Hf 0.7500 0.7500 0.7500
Hf 0.2500 0.2500 0.2500
Ag 0.5000 0.5000 0.5000

17.
The following is a DFT calculation (PBE-GGA) of a relaxed LaPmNd2P4 crystal.

Summary:
calculated formation energy: -1.55 eV per atom

a b c (Å): 5.9174 5.9174 7.2517
angles (deg): 114.08 114.08 90.00
Fractional positions:
P 0.4373 0.9372 0.0000
P 0.1897 0.1897 0.5053
P 0.9372 0.4373 0.0000
Nd 0.6871 0.1871 0.5000
La 0.9373 0.9373 0.0000
P 0.6844 0.6844 0.4947
Pm 0.4372 0.4372 0.0000
Nd 0.1871 0.6871 0.5000

18.
The following is a DFT calculation (PBE-GGA) of a relaxed Cd2TeRu crystal.

Summary:
E above lowest polymorph: 286.8 meV per atom

a b c (Å): 5.6640 5.6640 5.6640
angles (deg): 141.92 133.26 61.81
Last column: magnetic moment on the atom in μB.
Fractional positions:
Cd 0.5146 0.5146 0.0000  0.00
Te 0.2500 0.7500 0.5000  0.01
Cd 0.9854 0.9854 0.0000  0.00
Ru 0.7500 0.2500 0.5000  0.21

19.
The following is a DFT calculation (PBE-GGA) of a relaxed Cs2HgBi crystal.

Summary:
E above lowest polymorph: 345.0 meV per atom
calculated formation energy: 0.01 eV per atom

a b c (Å): 12.9146 12.9146 12.9146
angles (deg): 151.77 151.77 40.35
Last column: magnetic moment on the atom in μB.
Fractional positions:
Bi 0.7500 0.2500 0.5000  0.56
Cs 0.3750 0.3858 0.5108  0.01
Bi 0.0000 0.0000 0.0000  0.56
Cs 0.8750 0.8642 0.4892  0.01
Cs 0.6142 0.1250 0.9892  0.01
Hg 0.5000 0.5000 0.0000  0.02
Cs 0.1358 0.6250 0.0108  0.01
Hg 0.2500 0.7500 0.5000  0.02

20.
The following is a DFT calculation (PBE-GGA) of a relaxed Sm6ThS8 crystal.

Summary:
energy: -6.583 eV per atom

a b c (Å): 8.0102 8.0102 8.0102
angles (deg): 60.00 60.00 60.00
Fractional positions:
Sm 0.0000 0.5000 0.5000
Sm 0.0000 0.5000 0.0000
S 0.7500 0.7500 0.7500
S 0.2527 0.2527 0.7473
Th 0.0000 0.0000 0.0000
S 0.2527 0.7473 0.7473
S 0.7473 0.2527 0.7473
S 0.7473 0.2527 0.2527
Sm 0.5000 0.0000 0.0000
S 0.2500 0.2500 0.2500
Sm 0.5000 0.0000 0.5000
S 0.7473 0.7473 0.2527
Sm 0.0000 0.0000 0.5000
Sm 0.5000 0.5000 0.0000
S 0.2527 0.7473 0.2527

21.
The following is a DFT calculation (PBE-GGA) of a relaxed TcSb2Te crystal.

Summary:
E above lowest polymorph: 367.2 meV per atom

a b c (Å): 3.1917 3.1917 10.1897
angles (deg): 90.00 90.00 113.46
Fractional positions:
Sb 0.0000 0.0000 0.0077
Tc 0.0000 0.0000 0.4972
Te 0.5000 0.5000 0.7005
Sb 0.5000 0.5000 0.2946

22.
The following is a DFT calculation (PBE-GGA) of a relaxed YH3Rh crystal.

Summary:
energy: -5.019 eV per atom

a b c (Å): 3.0672 5.2726 5.2726
angles (deg): 134.45 90.00 90.00
Fractional positions:
H 0.0000 0.2561 0.7439
Y 0.5000 0.1120 0.8880
H 0.5000 0.6454 0.8201
H 0.5000 0.1799 0.3546
Rh 0.0000 0.4346 0.5654

23.
The following is a DFT calculation (PBE-GGA) of a relaxed GaFe4Ru crystal.

Summary:
calculated formation energy: 0.08 eV per atom

a b c (Å): 4.7508 4.7508 4.7508
angles (deg): 60.00 60.00 60.00
Last column: magnetic moment on the atom in μB.
Fractional positions:
Fe 0.6250 0.1249 0.6250  2.28
Fe 0.6250 0.6250 0.1249  2.28
Ga 0.0000 0.0000 0.0000  -0.08
Fe 0.1249 0.6250 0.6250  2.28
Ru 0.2500 0.2500 0.2500  0.97
Fe 0.6250 0.6250 0.6250  2.28